Entry 1:
The following is a meta-GGA SCAN calculation of Al2HgSb at its PBEsol-relaxed geometry, from Alexandria.

## Properties
* space group: Immm (71)
* uncorrected energy: -120.1 eV/cell
* theoretical density: 7326 kg/m3
* distance to the lowest polymorph of the same formula: 0.142 eV per atom
* Fermi-level density of states: 1.66 states/eV/f.u.

a b c (Å): 4.081 5.192 5.192
angles (deg): 60.55 66.86 66.86
Element x y z (fractional)
Sb  0.000  0.500  0.500
Hg  0.500  0.000  0.000
Al  0.238  0.762  0.762
Al  0.762  0.238  0.238


Entry 2:
The following is a meta-GGA SCAN calculation of Sc2AlHg at its PBEsol-relaxed geometry, from Alexandria.

## Properties
* space group: Cmmm (65)
* E_form: -2.2 eV per formula unit
* uncorrected energy: -106.6 eV/cell
* theoretical density: 6686 kg/m3
* Fermi-level density of states: 2.28 states/eV/f.u.

a b c (Å): 3.161 5.081 5.081
angles (deg): 104.98 90.00 90.00
Element x y z (fractional)
Sc  0.000  0.500  0.000
Sc  0.000  0.000  0.500
Hg  0.500  0.500  0.500
Al  0.500  0.000  0.000


Entry 3:
The following is a meta-GGA SCAN calculation of ScAlHg at its PBEsol-relaxed geometry, from Alexandria.

## Properties
* space group: P-6m2 (187)
* E_form: -1.7 eV per formula unit
* uncorrected energy: -91.9 eV/cell
* theoretical density: 7873 kg/m3
* Fermi-level density of states: 1.51 states/eV/f.u.

a b c (Å): 3.234 4.531 4.531
angles (deg): 120.00 90.00 90.00
Element x y z (fractional)
Sc  0.500  0.667  0.333
Hg  0.000  0.333  0.667
Al  0.000  0.000  0.000


Entry 4:
The following is a meta-GGA SCAN calculation of Sc2AlHg at its PBEsol-relaxed geometry, from Alexandria.

## Properties
* space group: Pmmm (47)
* E_form: -2.2 eV per formula unit
* uncorrected energy: -106.6 eV/cell
* theoretical density: 6703 kg/m3
* Fermi-level density of states: 2.54 states/eV/f.u.

a b c (Å): 3.140 4.046 6.190
angles (deg): 90.00 90.00 90.00
Element x y z (fractional)
Sc  0.000  0.000  0.757
Sc  0.000  0.000  0.243
Hg  0.500  0.500  0.500
Al  0.500  0.500  0.000


Entry 5:
The following is a meta-GGA SCAN calculation of Sc2AlHg at its PBEsol-relaxed geometry, from Alexandria.

## Properties
* space group: P4/mmm (123)
* E_form: -2.2 eV per formula unit
* uncorrected energy: -106.6 eV/cell
* theoretical density: 6703 kg/m3
* Fermi-level density of states: 2.77 states/eV/f.u.

a b c (Å): 4.073 4.395 4.395
angles (deg): 90.00 90.00 90.00
Element x y z (fractional)
Sc  0.000  0.000  0.500
Sc  0.000  0.500  0.000
Hg  0.500  0.000  0.000
Al  0.500  0.500  0.500


Entry 6:
The following is a meta-GGA SCAN calculation of Sc2AlHg at its PBEsol-relaxed geometry, from Alexandria.

## Properties
* space group: P2/m (10)
* E_form: -1.4 eV per formula unit
* uncorrected energy: -105.8 eV/cell
* theoretical density: 6222 kg/m3
* Fermi-level density of states: 2.53 states/eV/f.u.

a b c (Å): 3.277 4.923 5.689
angles (deg): 112.60 90.00 90.00
Element x y z (fractional)
Sc  0.000  0.000  0.000
Sc  0.500  0.000  0.500
Hg  0.000  0.500  0.500
Al  0.500  0.500  0.000


Entry 7:
The following is a meta-GGA SCAN calculation of Sc2AlHg at its PBEsol-relaxed geometry, from Alexandria.

## Properties
* space group: Pmm2 (25)
* E_form: -2.1 eV per formula unit
* uncorrected energy: -106.5 eV/cell
* theoretical density: 6636 kg/m3
* Fermi-level density of states: 3.05 states/eV/f.u.

a b c (Å): 3.314 4.835 4.958
angles (deg): 90.00 90.00 90.00
Element x y z (fractional)
Sc  0.000  0.000  0.082
Sc  0.000  0.500  0.658
Hg  0.500  0.500  0.177
Al  0.500  0.000  0.583


Entry 8:
The following is a meta-GGA SCAN calculation of Sc2AlHg at its PBEsol-relaxed geometry, from Alexandria.

## Properties
* space group: I4/mmm (139)
* E_form: -2.2 eV per formula unit
* uncorrected energy: -106.6 eV/cell
* theoretical density: 6706 kg/m3
* Fermi-level density of states: 2.56 states/eV/f.u.

a b c (Å): 4.385 4.385 5.131
angles (deg): 115.29 115.29 90.00
Element x y z (fractional)
Sc  0.750  0.250  0.500
Sc  0.250  0.750  0.500
Hg  0.000  0.000  0.000
Al  0.500  0.500  0.000


Entry 9:
The following is a meta-GGA SCAN calculation of ScAlHg2 at its PBEsol-relaxed geometry, from Alexandria.

## Properties
* space group: P4/mmm (123)
* E_form: -1.6 eV per formula unit
* uncorrected energy: -159.9 eV/cell
* theoretical density: 10110 kg/m3
* Fermi-level density of states: 1.93 states/eV/f.u.

a b c (Å): 4.160 4.322 4.322
angles (deg): 90.00 90.00 90.00
Element x y z (fractional)
Sc  0.500  0.500  0.500
Hg  0.000  0.000  0.500
Hg  0.000  0.500  0.000
Al  0.500  0.000  0.000


Entry 10:
The following is a meta-GGA SCAN calculation of ScAlHg2 at its PBEsol-relaxed geometry, from Alexandria.

## Properties
* space group: I4/mmm (139)
* E_form: -1.5 eV per formula unit
* uncorrected energy: -159.8 eV/cell
* theoretical density: 10087 kg/m3
* Fermi-level density of states: 1.31 states/eV/f.u.

a b c (Å): 4.423 4.423 5.063
angles (deg): 115.90 115.90 90.00
Element x y z (fractional)
Sc  0.000  0.000  0.000
Hg  0.750  0.250  0.500
Hg  0.250  0.750  0.500
Al  0.500  0.500  0.000


Entry 11:
The following is a meta-GGA SCAN calculation of AlHgSe2 at its PBEsol-relaxed geometry, from Alexandria.

## Properties
* space group: P4/mmm (123)
* uncorrected energy: -115.2 eV/cell
* theoretical density: 7930 kg/m3
* distance to the lowest polymorph of the same formula: 0.711 eV per atom
* Fermi-level density of states: 2.74 states/eV/f.u.

a b c (Å): 3.415 4.862 4.862
angles (deg): 90.00 90.00 90.00
Element x y z (fractional)
Hg  0.500  0.000  0.000
Se  0.000  0.000  0.500
Se  0.000  0.500  0.000
Al  0.500  0.500  0.500


Entry 12:
The following is a meta-GGA SCAN calculation of AlHgSe2 at its PBEsol-relaxed geometry, from Alexandria.

## Properties
* space group: Imm2 (44)
* uncorrected energy: -116.8 eV/cell
* theoretical density: 7434 kg/m3
* distance to the lowest polymorph of the same formula: 0.311 eV per atom
* Fermi-level density of states: 1.37 states/eV/f.u.

a b c (Å): 3.498 3.685 7.148
angles (deg): 104.94 104.16 90.00
Element x y z (fractional)
Hg  0.203  0.703  0.407
Se  0.030  0.030  0.061
Se  0.814  0.314  0.629
Al  0.452  0.452  0.903


Entry 13:
The following is a meta-GGA SCAN calculation of AlHgSe4 at its PBEsol-relaxed geometry, from Alexandria.

## Properties
* space group: F-43m (216)
* uncorrected energy: -153.1 eV/cell
* theoretical density: 6747 kg/m3
* Fermi-level density of states: 4.92 states/eV/f.u.

a b c (Å): 5.740 5.740 5.740
angles (deg): 60.00 60.00 60.00
Element x y z (fractional)
Hg  0.000  0.000  0.000
Se  0.374  0.374  0.374
Se  0.374  0.374  0.877
Se  0.877  0.374  0.374
Se  0.374  0.877  0.374
Al  0.750  0.750  0.750


Entry 14:
The following is a meta-GGA SCAN calculation of AlHg3Se at its PBEsol-relaxed geometry, from Alexandria.

## Properties
* space group: Pm-3m (221)
* uncorrected energy: -231.2 eV/cell
* theoretical density: 8866 kg/m3
* distance to the lowest polymorph of the same formula: 0.000 eV per atom
* Fermi-level density of states: 3.93 states/eV/f.u.

a b c (Å): 5.099 5.099 5.099
angles (deg): 90.00 90.00 90.00
Element x y z (fractional)
Hg  0.000  0.500  0.000
Hg  0.000  0.000  0.500
Hg  0.500  0.000  0.000
Se  0.500  0.500  0.500
Al  0.000  0.000  0.000


Entry 15:
The following is a meta-GGA SCAN calculation of AlHgSe2 at its PBEsol-relaxed geometry, from Alexandria.

## Properties
* space group: Cmmm (65)
* uncorrected energy: -116.9 eV/cell
* theoretical density: 6925 kg/m3
* distance to the lowest polymorph of the same formula: 0.296 eV per atom
* Fermi-level density of states: 1.74 states/eV/f.u.

a b c (Å): 3.347 3.347 9.140
angles (deg): 90.00 90.00 115.49
Element x y z (fractional)
Hg  0.500  0.500  0.000
Se  0.000  0.000  0.316
Se  0.000  0.000  0.684
Al  0.500  0.500  0.500